Entry 1:
The following is a DFT calculation (GGA-PBE) of a geometry-optimized Ca2EuCu structure.

Cell: 4.028 4.028 10.412 Å, 78.85 78.85 60.00°
Each line ends with the local moment (μB).
Element x y z (fractional)
Eu1 0.500 0.500 0.500  7.02
Ca1 0.724 0.724 0.828  0.01
Ca2 0.276 0.276 0.172  0.01
Cu1 0.000 0.000 0.000  0.01

Calculated values
The theoretical density comes out at 3.444 g/cm3. Its relative energy among the computed polymorphs is 0.047 eV per atom.



Entry 2:
The following is a DFT calculation (GGA-PBE) of a geometry-optimized SrV2Co2 structure.

Cell: 4.076 4.076 5.973 Å, 70.05 70.05 90.00°
Element x y z (fractional)
Sr1 0.000 0.000 0.000
Co1 0.361 0.361 0.279
Co2 0.639 0.639 0.721
V1 0.750 0.250 0.500
V2 0.250 0.750 0.500

Calculated values
The theoretical density comes out at 5.873 g/cm3. The total energy comes out at -33.3 eV for the cell shown.



Entry 3:
The following is a DFT calculation (GGA-PBE) of a geometry-optimized Rb2TcIrSe structure.

Cell: 6.739 4.532 6.739 Å, 90.00 90.00 90.00°
Each line ends with the local moment (μB).
Element x y z (fractional)
Ir1 0.000 0.000 0.000  -0.02
Se1 0.000 0.500 0.000  0.00
Tc1 0.500 0.500 0.500  3.61
Rb1 0.000 0.000 0.500  0.00
Rb2 0.500 0.000 0.000  0.00

Calculated values
The theoretical density comes out at 4.358 g/cm3. The total energy comes out at -19.5 eV for the cell shown.



Entry 4:
The following is a DFT calculation (GGA-PBE) of a geometry-optimized Pr4Zn3Au structure.

Cell: 3.779 4.615 12.046 Å, 90.00 90.00 90.00°
Element x y z (fractional)
Pr1 0.500 0.500 0.351
Pr2 0.000 0.500 0.850
Pr3 0.000 0.000 0.148
Pr4 0.500 0.000 0.652
Zn1 0.000 0.500 0.565
Zn2 0.000 0.000 0.435
Zn3 0.500 0.000 0.931
Au1 0.500 0.500 0.068

Calculated values
The theoretical density comes out at 7.563 g/cm3. Its relative energy among the computed polymorphs is 0.031 eV per atom.



Summary of DOS at the Fermi energy in states/eV/cell
3.7; 3.2; 6.5; 8.5
(order as listed above)